No. 1
Material: ScCd2Os
Method: DFT, GGA-PBE
State: relaxed

Calculated values
The magnetization comes out at 0.10 μB per atom. The value obtained for the calculated total energy is -18.56 eV per cell. For the volume, the calculation gives 76.08 Å³ per cell. The density of states at the Fermi level comes out at 0.501 states/eV per atom. The value obtained for the energy above the most stable polymorph in this dataset is 0.233 eV per atom. The value obtained for the calculated formation energy is 0.209 eV per atom.

Unit cell a=5.7862 b=5.7862 c=3.1071 alpha=76.72 beta=76.72 gamma=123.31
Positions (direct):
Sc  0.0000  0.5000  0.5000
Cd  0.5000  0.5000  0.0000
Cd  0.0000  0.0000  0.0000
Os  0.5000  0.0000  0.5000

No. 2
Material: VNi6Pd
Method: DFT, GGA-PBE
State: relaxed

Calculated values
The magnetization comes out at 0.08 μB per atom. The value obtained for the calculated total energy is -49.48 eV per cell. For the volume, the calculation gives 93.21 Å³ per cell. The density of states at the Fermi level comes out at 1.774 states/eV per atom. The value obtained for the energy above the most stable polymorph in this dataset is 0.036 eV per atom. The value obtained for the calculated formation energy is -0.061 eV per atom.

Unit cell a=4.1122 b=5.1160 c=5.1160 alpha=120.00 beta=90.00 gamma=90.00
Positions (direct):
Ni  0.0000  0.0826  0.4163
Ni  0.5000  0.9124  0.5751
Ni  0.5000  0.4249  0.0876
Ni  0.0000  0.5837  0.9174
Ni  0.5000  0.9125  0.0875
Ni  0.0000  0.5837  0.4163
V  0.5000  0.4165  0.5835
Pd  0.0000  0.0834  0.9166

Q: The lowest magnetization belongs to which entry?
A: VNi6Pd